Record 1
A relaxed structure of YGeP3. Source: the Alexandria database, functional PBE.

Lattice parameters (Å, degrees): 5.2107 5.2107 5.2107 90.00 90.00 90.00
Fractional coordinates of all 5 atoms:
1 Y 0.0000 0.0000 0.0000
2 Ge 0.5000 0.5000 0.5000
3 P 0.0000 0.0000 0.5000
4 P 0.0000 0.5000 0.0000
5 P 0.5000 0.0000 0.0000

## Properties
Relative energy among the computed polymorphs, meV/atom: 625.0
Fermi-level density of states, states/eV/f.u.: 5.75
ΔH_f (0 K), eV per atom: 0.799

***

Record 2
A relaxed structure of YGeP3. Source: the Alexandria database, functional PBE.

Lattice parameters (Å, degrees): 4.7151 4.7151 4.7151 90.00 90.00 90.00
Fractional coordinates of all 5 atoms:
1 Y 0.0000 0.0000 0.0000
2 Ge 0.5000 0.5000 0.5000
3 P 0.0000 0.5000 0.5000
4 P 0.5000 0.0000 0.5000
5 P 0.5000 0.5000 0.0000

## Properties
Relative energy among the computed polymorphs, meV/atom: 0.0
Fermi-level density of states, states/eV/f.u.: 3.58
ΔH_f (0 K), eV per atom: 0.174

***

Record 3
A relaxed structure of Y2Ge2P. Source: the Alexandria database, functional PBE.

Lattice parameters (Å, degrees): 7.5022 7.5022 4.2614 90.00 90.00 90.00
Fractional coordinates of all 10 atoms:
1 Y 0.1845 0.3155 0.0000
2 Y 0.3155 0.8155 0.0000
3 Y 0.6845 0.1845 0.0000
4 Y 0.8155 0.6845 0.0000
5 Ge 0.1142 0.6142 0.5000
6 Ge 0.3858 0.1142 0.5000
7 Ge 0.6142 0.8858 0.5000
8 Ge 0.8858 0.3858 0.5000
9 P 0.0000 0.0000 0.0000
10 P 0.5000 0.5000 0.0000

## Properties
Fermi-level density of states, states/eV/f.u.: 2.18
ΔH_f (0 K), eV per atom: -0.731

***

Record 4
A relaxed structure of YGeP2. Source: the Alexandria database, functional PBE.

Lattice parameters (Å, degrees): 6.1757 6.1757 6.1757 113.96 113.96 100.82
Fractional coordinates of all 8 atoms:
1 Y 0.0000 0.0000 0.0000
2 Y 0.7500 0.2500 0.5000
3 Ge 0.2500 0.7500 0.5000
4 Ge 0.5000 0.5000 0.0000
5 P 0.1734 0.6250 0.0484
6 P 0.3750 0.4234 0.5484
7 P 0.5766 0.1250 0.9516
8 P 0.8750 0.8266 0.4516

## Properties
Fermi-level density of states, states/eV/f.u.: 3.33
ΔH_f (0 K), eV per atom: -0.419

***

Record 5
A relaxed structure of YGe2P. Source: the Alexandria database, functional PBE.

Lattice parameters (Å, degrees): 6.0933 6.0933 6.0933 108.67 108.67 111.09
Fractional coordinates of all 8 atoms:
1 Y 0.0000 0.0000 0.0000
2 Y 0.7500 0.2500 0.5000
3 Ge 0.1894 0.6250 0.0644
4 Ge 0.3750 0.4394 0.5644
5 Ge 0.5606 0.1250 0.9356
6 Ge 0.8750 0.8106 0.4356
7 P 0.2500 0.7500 0.5000
8 P 0.5000 0.5000 0.0000

## Properties
Fermi-level density of states, states/eV/f.u.: 1.96
ΔH_f (0 K), eV per atom: -0.210

***

Record 6
A relaxed structure of Y3GeP. Source: the Alexandria database, functional PBE.

Lattice parameters (Å, degrees): 5.1953 5.1953 5.1953 90.00 90.00 90.00
Fractional coordinates of all 5 atoms:
1 Y 0.0000 0.0000 0.5000
2 Y 0.0000 0.5000 0.0000
3 Y 0.5000 0.0000 0.0000
4 Ge 0.5000 0.5000 0.5000
5 P 0.0000 0.0000 0.0000

## Properties
Relative energy among the computed polymorphs, meV/atom: 0.0
Fermi-level density of states, states/eV/f.u.: 3.29
ΔH_f (0 K), eV per atom: -0.628

***

Record 7
A relaxed structure of ZnGe2P2. Source: the Alexandria database, functional PBE.

Lattice parameters (Å, degrees): 7.1224 7.1224 3.5553 90.00 90.00 90.00
Fractional coordinates of all 10 atoms:
1 Zn 0.0000 0.0000 0.0000
2 Zn 0.5000 0.5000 0.0000
3 Ge 0.1462 0.3538 0.5000
4 Ge 0.3538 0.8538 0.5000
5 Ge 0.6462 0.1462 0.5000
6 Ge 0.8538 0.6462 0.5000
7 P 0.1824 0.6824 0.0000
8 P 0.3176 0.1824 0.0000
9 P 0.6824 0.8176 0.0000
10 P 0.8176 0.3176 0.0000

## Properties
Fermi-level density of states, states/eV/f.u.: 2.42
ΔH_f (0 K), eV per atom: 0.303

***

Record 8
A relaxed structure of Zn3GeP. Source: the Alexandria database, functional PBE.

Lattice parameters (Å, degrees): 4.7627 4.7627 4.7627 90.00 90.00 90.00
Fractional coordinates of all 5 atoms:
1 Zn 0.0000 0.0000 0.5000
2 Zn 0.0000 0.5000 0.0000
3 Zn 0.5000 0.0000 0.0000
4 Ge 0.0000 0.0000 0.0000
5 P 0.5000 0.5000 0.5000

## Properties
Relative energy among the computed polymorphs, meV/atom: 206.8
Fermi-level density of states, states/eV/f.u.: 3.30
ΔH_f (0 K), eV per atom: 0.697

***

Record 9
A relaxed structure of ZnGeP. Source: the Alexandria database, functional PBE.

Lattice parameters (Å, degrees): 5.9841 5.9841 6.2545 120.98 120.98 40.12
Fractional coordinates of all 6 atoms:
1 Zn 0.0000 0.0000 0.0000
2 Zn 0.6904 0.6904 0.7161
3 Ge 0.3509 0.3509 0.2929
4 Ge 0.8292 0.8292 0.5047
5 P 0.1622 0.1622 0.8611
6 P 0.5434 0.5434 0.2275

## Properties
Relative energy among the computed polymorphs, meV/atom: 39.5
Fermi-level density of states, states/eV/f.u.: 0.09
ΔH_f (0 K), eV per atom: -0.049

***

Record 10
A relaxed structure of ZnGeP2. Source: the Alexandria database, functional PBE.

Lattice parameters (Å, degrees): 6.6678 6.6678 6.6678 131.30 131.30 71.34
Fractional coordinates of all 8 atoms:
1 Zn 0.0000 0.0000 0.0000
2 Zn 0.7500 0.2500 0.5000
3 Ge 0.2500 0.7500 0.5000
4 Ge 0.5000 0.5000 0.0000
5 P 0.1290 0.6250 0.0040
6 P 0.3750 0.3790 0.5040
7 P 0.6210 0.1250 0.9960
8 P 0.8750 0.8710 0.4960

## Properties
Relative energy among the computed polymorphs, meV/atom: 0.0
Fermi-level density of states, states/eV/f.u.: 0.00
ΔH_f (0 K), eV per atom: -0.209

***

Record 11
A relaxed structure of ZnGe2P. Source: the Alexandria database, functional PBE.

Lattice parameters (Å, degrees): 3.9076 3.9076 6.6472 90.04 90.04 60.31
Fractional coordinates of all 4 atoms:
1 Zn 0.0000 0.0000 0.0000
2 Ge 0.9999 0.9999 0.6224
3 Ge 0.6652 0.6652 0.4545
4 P 0.6655 0.6655 0.1089

## Properties
Relative energy among the computed polymorphs, meV/atom: 72.5
Fermi-level density of states, states/eV/f.u.: 2.61
ΔH_f (0 K), eV per atom: 0.039

***

Record 12
A relaxed structure of ZnGe2P. Source: the Alexandria database, functional PBE.

Lattice parameters (Å, degrees): 4.0903 4.0903 5.5546 109.52 109.52 70.66
Fractional coordinates of all 4 atoms:
1 Zn 0.0000 0.0000 0.0000
2 Ge 0.3367 0.3367 0.5623
3 Ge 0.6737 0.6737 0.4658
4 P 0.6349 0.6349 0.0112

## Properties
Relative energy among the computed polymorphs, meV/atom: 135.3
Fermi-level density of states, states/eV/f.u.: 0.61
ΔH_f (0 K), eV per atom: 0.102

***

Record 13
A relaxed structure of ZnGeP3. Source: the Alexandria database, functional PBE.

Lattice parameters (Å, degrees): 4.6407 4.6407 4.6407 90.00 90.00 90.00
Fractional coordinates of all 5 atoms:
1 Zn 0.0000 0.0000 0.0000
2 Ge 0.5000 0.5000 0.5000
3 P 0.0000 0.0000 0.5000
4 P 0.0000 0.5000 0.0000
5 P 0.5000 0.0000 0.0000

## Properties
Relative energy among the computed polymorphs, meV/atom: 0.0
Fermi-level density of states, states/eV/f.u.: 4.14
ΔH_f (0 K), eV per atom: 0.975

***

Record 14
A relaxed structure of ZnGe2P. Source: the Alexandria database, functional PBE.

Lattice parameters (Å, degrees): 3.6497 4.0626 5.7267 107.33 108.36 90.20
Fractional coordinates of all 4 atoms:
1 Zn 0.0000 0.0000 0.0000
2 Ge 0.4421 0.4703 0.8860
3 Ge 0.7505 0.8193 0.4952
4 P 0.2164 0.4022 0.4319

## Properties
Relative energy among the computed polymorphs, meV/atom: 188.8
Fermi-level density of states, states/eV/f.u.: 0.95
ΔH_f (0 K), eV per atom: 0.155

***

Record 15
A relaxed structure of ZnGe2P3. Source: the Alexandria database, functional PBE.

Lattice parameters (Å, degrees): 6.6368 6.6368 7.1639 100.46 100.46 120.16
Fractional coordinates of all 12 atoms:
1 Zn 0.0846 0.9154 0.5000
2 Zn 0.9154 0.0846 0.0000
3 Ge 0.2527 0.7618 0.0078
4 Ge 0.4258 0.5938 0.4923
5 Ge 0.5938 0.4258 0.9923
6 Ge 0.7618 0.2527 0.5078
7 P 0.1473 0.6414 0.6425
8 P 0.3076 0.4732 0.1231
9 P 0.4732 0.3076 0.6231
10 P 0.6414 0.1473 0.1425
11 P 0.8103 0.9721 0.6425
12 P 0.9721 0.8103 0.1425

## Properties
Fermi-level density of states, states/eV/f.u.: 2.27
ΔH_f (0 K), eV per atom: -0.040

***

Record 16
A relaxed structure of ZnGe2P. Source: the Alexandria database, functional PBE.

Lattice parameters (Å, degrees): 3.9761 3.9761 6.8218 106.96 106.96 60.21
Fractional coordinates of all 4 atoms:
1 Zn 0.0000 0.0000 0.0000
2 Ge 0.4839 0.4839 0.4516
3 Ge 0.8694 0.8694 0.6057
4 P 0.3643 0.3643 0.0902

## Properties
Relative energy among the computed polymorphs, meV/atom: 56.3
Fermi-level density of states, states/eV/f.u.: 1.77
ΔH_f (0 K), eV per atom: 0.023

***

Record 17
A relaxed structure of Zn2Ge2P. Source: the Alexandria database, functional PBE.

Lattice parameters (Å, degrees): 7.3858 7.3858 3.3060 90.00 90.00 90.00
Fractional coordinates of all 10 atoms:
1 Zn 0.1193 0.3807 0.0000
2 Zn 0.3807 0.8807 0.0000
3 Zn 0.6193 0.1193 0.0000
4 Zn 0.8807 0.6193 0.0000
5 Ge 0.1894 0.6894 0.5000
6 Ge 0.3106 0.1894 0.5000
7 Ge 0.6894 0.8106 0.5000
8 Ge 0.8106 0.3106 0.5000
9 P 0.0000 0.0000 0.5000
10 P 0.5000 0.5000 0.5000

## Properties
Relative energy among the computed polymorphs, meV/atom: 26.4
Fermi-level density of states, states/eV/f.u.: 2.29
ΔH_f (0 K), eV per atom: 0.358

***

Record 18
A relaxed structure of ZnGeP. Source: the Alexandria database, functional PBE.

Lattice parameters (Å, degrees): 5.3853 3.8096 5.9563 90.00 106.21 90.00
Fractional coordinates of all 6 atoms:
1 Zn 0.0000 0.0000 0.0000
2 Zn 0.3680 0.0000 0.7431
3 Ge 0.0129 0.5000 0.6845
4 Ge 0.6273 0.5000 0.3207
5 P 0.3599 0.0000 0.3372
6 P 0.6818 0.5000 0.9270

## Properties
Relative energy among the computed polymorphs, meV/atom: 127.9
Fermi-level density of states, states/eV/f.u.: 0.59
ΔH_f (0 K), eV per atom: 0.040

***

Record 19
A relaxed structure of Zn2GeP. Source: the Alexandria database, functional PBE.

Lattice parameters (Å, degrees): 6.3340 6.3340 6.3340 122.72 122.72 85.35
Fractional coordinates of all 8 atoms:
1 Zn 0.0906 0.6250 0.9656
2 Zn 0.3750 0.3406 0.4656
3 Zn 0.6594 0.1250 0.0344
4 Zn 0.8750 0.9094 0.5344
5 Ge 0.2500 0.7500 0.5000
6 Ge 0.5000 0.5000 0.0000
7 P 0.0000 0.0000 0.0000
8 P 0.7500 0.2500 0.5000

## Properties
Fermi-level density of states, states/eV/f.u.: 1.53
ΔH_f (0 K), eV per atom: 0.229

***

Record 20
A relaxed structure of ZnGeP. Source: the Alexandria database, functional PBE.

Lattice parameters (Å, degrees): 3.5987 3.8445 4.4476 86.21 87.20 69.65
Fractional coordinates of all 3 atoms:
1 Zn 0.0000 0.0000 0.0000
2 Ge 0.1601 0.4991 0.6059
3 P 0.6603 0.5649 0.2490

## Properties
Relative energy among the computed polymorphs, meV/atom: 171.9
Fermi-level density of states, states/eV/f.u.: 0.81
ΔH_f (0 K), eV per atom: 0.084

***

Record 21
A relaxed structure of Zn3GeP. Source: the Alexandria database, functional PBE.

Lattice parameters (Å, degrees): 4.6694 4.6694 4.6694 90.00 90.00 90.00
Fractional coordinates of all 5 atoms:
1 Zn 0.0000 0.0000 0.5000
2 Zn 0.0000 0.5000 0.0000
3 Zn 0.5000 0.0000 0.0000
4 Ge 0.5000 0.5000 0.5000
5 P 0.0000 0.0000 0.0000

## Properties
Relative energy among the computed polymorphs, meV/atom: 0.0
Fermi-level density of states, states/eV/f.u.: 4.23
ΔH_f (0 K), eV per atom: 0.490

***

Record 22
A relaxed structure of ZnGeP. Source: the Alexandria database, functional PBE.

Lattice parameters (Å, degrees): 5.9677 5.9677 6.1731 119.00 119.00 39.91
Fractional coordinates of all 6 atoms:
1 Zn 0.0631 0.0631 0.3744
2 Zn 0.9369 0.9369 0.6256
3 Ge 0.2218 0.2218 0.8627
4 Ge 0.7782 0.7782 0.1373
5 P 0.4142 0.4142 0.7992
6 P 0.5858 0.5858 0.2008

## Properties
Relative energy among the computed polymorphs, meV/atom: 0.0
Fermi-level density of states, states/eV/f.u.: 0.19
ΔH_f (0 K), eV per atom: -0.088

***

Record 23
A relaxed structure of Zn2GeP. Source: the Alexandria database, functional PBE.

Lattice parameters (Å, degrees): 4.5553 4.5553 4.5553 60.00 60.00 60.00
Fractional coordinates of all 4 atoms:
1 Zn 0.2500 0.2500 0.2500
2 Zn 0.7500 0.7500 0.7500
3 Ge 0.0000 0.0000 0.0000
4 P 0.5000 0.5000 0.5000

## Properties
Fermi-level density of states, states/eV/f.u.: 1.33
ΔH_f (0 K), eV per atom: 0.358

***

Record 24
A relaxed structure of ZnGeP2. Source: the Alexandria database, functional PBE.

Lattice parameters (Å, degrees): 7.4253 7.4253 7.4253 28.81 28.81 28.81
Fractional coordinates of all 4 atoms:
1 Zn 0.0000 0.0000 0.0000
2 Ge 0.5000 0.5000 0.5000
3 P 0.1052 0.1052 0.1052
4 P 0.8948 0.8948 0.8948

## Properties
Relative energy among the computed polymorphs, meV/atom: 471.8
Fermi-level density of states, states/eV/f.u.: 2.02
ΔH_f (0 K), eV per atom: 0.263

***

Record 25
A relaxed structure of ZnGe2P. Source: the Alexandria database, functional PBE.

Lattice parameters (Å, degrees): 6.7939 6.7939 6.7939 130.06 130.06 73.31
Fractional coordinates of all 8 atoms:
1 Zn 0.0000 0.0000 0.0000
2 Zn 0.7500 0.2500 0.5000
3 Ge 0.1349 0.6250 0.0099
4 Ge 0.3750 0.3849 0.5099
5 Ge 0.6151 0.1250 0.9901
6 Ge 0.8750 0.8651 0.4901
7 P 0.2500 0.7500 0.5000
8 P 0.5000 0.5000 0.0000

## Properties
Relative energy among the computed polymorphs, meV/atom: 136.3
Fermi-level density of states, states/eV/f.u.: 1.36
ΔH_f (0 K), eV per atom: 0.103

***

Record 26
A relaxed structure of ZnGe2P. Source: the Alexandria database, functional PBE.

Lattice parameters (Å, degrees): 6.0377 6.0377 2.5935 101.06 101.06 50.62
Fractional coordinates of all 4 atoms:
1 Zn 0.0000 0.0000 0.0000
2 Ge 0.4777 0.4777 0.4536
3 Ge 0.7614 0.7614 0.2752
4 P 0.2374 0.2374 0.2376

## Properties
Relative energy among the computed polymorphs, meV/atom: 222.0
Fermi-level density of states, states/eV/f.u.: 0.95
ΔH_f (0 K), eV per atom: 0.189